# 1
VASP calculation (SCAN) on a PBEsol-optimized structure of LaRh2Pb.

DOS(E_F) = 0.5913 states/eV per atom
calculated total energy = -47.1843 eV/atom

a b c (Å): 3.794 4.161 5.471
angles (deg): 90.00 110.29 90.00
Atoms (fractional coordinates):
1 Pb 0.233 0.000 0.466
2 Rh 0.960 0.000 0.920
3 Rh 0.789 0.500 0.579
4 La 0.518 0.500 0.035

=====

# 2
VASP calculation (SCAN) on a PBEsol-optimized structure of Zr3Tl2Cu2S8.

ΔE_f (raw) = -1284 meV per atom

a b c (Å): 3.655 7.240 12.759
angles (deg): 81.98 81.76 75.38
Atoms (fractional coordinates):
1 Zr 0.000 0.000 0.000
2 Zr 0.843 0.934 0.380
3 Zr 0.157 0.066 0.620
4 Tl 0.831 0.538 0.801
5 Tl 0.169 0.462 0.199
6 Cu 0.455 0.896 0.194
7 Cu 0.545 0.104 0.806
8 S 0.855 0.099 0.190
9 S 0.145 0.901 0.810
10 S 0.798 0.824 0.580
11 S 0.202 0.176 0.420
12 S 0.479 0.694 0.348
13 S 0.521 0.306 0.652
14 S 0.605 0.746 0.044
15 S 0.395 0.254 0.956

=====

# 3
VASP calculation (SCAN) on a PBEsol-optimized structure of Ag2BiH2.

DOS(E_F) = 0.2681 states/eV per atom
calculated total energy = -29.2477 eV/atom

a b c (Å): 3.344 3.344 6.922
angles (deg): 103.98 103.98 90.00
Atoms (fractional coordinates):
1 H 0.250 0.750 0.500
2 H 0.750 0.250 0.500
3 Bi 0.000 0.000 0.000
4 Ag 0.328 0.328 0.655
5 Ag 0.672 0.672 0.345

=====

# 4
VASP calculation (SCAN) on a PBEsol-optimized structure of LiZn2Au.

DOS(E_F) = 0.2359 states/eV per atom
relative energy among the computed polymorphs = 0.1336 eV/atom

a b c (Å): 3.228 3.228 5.567
angles (deg): 90.00 90.00 90.00
Atoms (fractional coordinates):
1 Zn 0.000 0.000 0.740
2 Zn 0.000 0.000 0.260
3 Au 0.500 0.500 0.000
4 Li 0.500 0.500 0.500

=====

# 5
VASP calculation (SCAN) on a PBEsol-optimized structure of AgTe2Cl.

DOS(E_F) = 0.1624 states/eV per atom
ΔE_f (raw) = -213 meV per atom

a b c (Å): 4.140 4.661 5.867
angles (deg): 112.04 90.00 90.00
Atoms (fractional coordinates):
1 Te 0.000 0.215 0.312
2 Te 0.000 0.785 0.688
3 Ag 0.500 0.000 0.500
4 Cl 0.500 0.500 0.000

=====

# 6
VASP calculation (SCAN) on a PBEsol-optimized structure of Zr2PSe.

DOS(E_F) = 0.5326 states/eV per atom
ΔE_f (raw) = -1338 meV per atom
relative energy among the computed polymorphs = 0.1382 eV/atom

a b c (Å): 3.648 3.648 5.637
angles (deg): 90.00 90.00 90.00
Atoms (fractional coordinates):
1 P 0.000 0.000 0.421
2 Se 0.500 0.500 0.818
3 Zr 0.000 0.000 0.945
4 Zr 0.500 0.500 0.315

=====

# 7
VASP calculation (SCAN) on a PBEsol-optimized structure of KAg2Au.

DOS(E_F) = 0.2654 states/eV per atom
relative energy among the computed polymorphs = 0.1296 eV/atom

a b c (Å): 2.877 5.421 5.421
angles (deg): 111.19 90.00 90.00
Atoms (fractional coordinates):
1 Ag 0.000 0.500 0.000
2 Ag 0.000 0.000 0.500
3 Au 0.500 0.000 0.000
4 K 0.500 0.500 0.500

=====

# 8
VASP calculation (SCAN) on a PBEsol-optimized structure of ZnCdHg3.

DOS(E_F) = 0.2844 states/eV per atom
calculated total energy = -49.3456 eV/atom

a b c (Å): 5.399 5.399 5.399
angles (deg): 90.00 90.00 90.00
Atoms (fractional coordinates):
1 Zn 0.500 0.500 0.500
2 Hg 0.000 0.500 0.000
3 Hg 0.000 0.000 0.500
4 Hg 0.500 0.000 0.000
5 Cd 0.000 0.000 0.000

=====

# 9
VASP calculation (SCAN) on a PBEsol-optimized structure of HgPt4.

DOS(E_F) = 0.8414 states/eV per atom
relative energy among the computed polymorphs = 0.0000 eV/atom

a b c (Å): 3.997 4.881 4.881
angles (deg): 80.35 65.83 65.83
Atoms (fractional coordinates):
1 Hg 0.000 0.000 0.000
2 Pt 0.805 0.596 0.794
3 Pt 0.599 0.206 0.596
4 Pt 0.195 0.404 0.206
5 Pt 0.401 0.794 0.404

=====

# 10
VASP calculation (SCAN) on a PBEsol-optimized structure of TlCd2.

DOS(E_F) = 0.3497 states/eV per atom
calculated total energy = -44.3245 eV/atom

a b c (Å): 3.238 3.238 7.738
angles (deg): 90.00 90.00 120.00
Atoms (fractional coordinates):
1 Tl 0.000 0.000 0.000
2 Cd 0.667 0.333 0.345
3 Cd 0.333 0.667 0.655

=====

# 11
VASP calculation (SCAN) on a PBEsol-optimized structure of CdFe2Se.

DOS(E_F) = 0.4725 states/eV per atom
ΔE_f (raw) = 373 meV per atom

a b c (Å): 3.979 3.979 4.770
angles (deg): 114.65 114.65 90.00
Atoms (fractional coordinates):
1 Cd 0.000 0.000 0.000
2 Fe 0.750 0.250 0.500
3 Fe 0.250 0.750 0.500
4 Se 0.500 0.500 0.000

=====

# 12
VASP calculation (SCAN) on a PBEsol-optimized structure of Y2InW.

DOS(E_F) = 0.9221 states/eV per atom
calculated total energy = -39.4739 eV/atom

a b c (Å): 4.201 4.597 5.593
angles (deg): 114.27 112.06 90.00
Atoms (fractional coordinates):
1 In 0.510 0.510 0.021
2 W 0.237 0.737 0.475
3 Y 0.997 0.997 0.995
4 Y 0.755 0.255 0.510